Computed, not measured: NaCa2Cu after structural relaxation at the GGA-PBE level of DFT.

Output
For the total moment, the calculation gives 0.000 Bohr magnetons per cell. For the excess energy over the best structure of this formula in the dataset, the calculation gives 0.166 eV per atom. Its formation energy from the elements is 0.11 eV/atom. The calculated volume comes out at 114.9 Å³/f.u. The calculation puts the final energy at -2.244 eV per atom. As for the crystal system: tetragonal.

Cell lengths 4.012, 5.351, 5.351 Å; angles 90.00, 90.00, 90.00 degrees
Fractional coordinates of all 4 atoms:
Ca (0.000, 0.500, 0.000)
Ca (0.000, 0.000, 0.500)
Cu (0.500, 0.500, 0.500)
Na (0.500, 0.000, 0.000)